Entry 1
## ScSeF3 (GGA-PBE)

Data for ScSeF3 after structural relaxation.

CIF file:
```
data_ScSeF3
_cell_length_a 4.503
_cell_length_b 4.503
_cell_length_c 4.503
_cell_angle_alpha 90.00
_cell_angle_beta 90.00
_cell_angle_gamma 90.00
_space_group_name_H-M_alt 'P m -3 m'
_space_group_IT_number 221
_space_group_name_Hall '-P 4 2 3'
loop_
_atom_site_label
_atom_site_fract_x
_atom_site_fract_y
_atom_site_fract_z
Sc1 0.000 0.000 0.000
Se1 0.500 0.500 0.500
F1 0.000 0.500 0.500
```

N(E_F)	1.080	states/eV per atom

Entry 2
## ScSeF3 (GGA-PBE)

Data for ScSeF3 after structural relaxation.

CIF file:
```
data_ScSeF3
_cell_length_a 4.227
_cell_length_b 4.227
_cell_length_c 4.227
_cell_angle_alpha 90.00
_cell_angle_beta 90.00
_cell_angle_gamma 90.00
_space_group_name_H-M_alt 'P m -3 m'
_space_group_IT_number 221
_space_group_name_Hall '-P 4 2 3'
loop_
_atom_site_label
_atom_site_fract_x
_atom_site_fract_y
_atom_site_fract_z
Sc1 0.000 0.000 0.000
Se1 0.500 0.500 0.500
F1 0.000 0.000 0.500
```

N(E_F)	0.508	states/eV per atom

Relative energies, eV/atom: entry 1 1.589; entry 2 0.000.